No. 1
Density functional theory data (GGA-PBE) for a geometry-optimized KRb2RhBr6 structure.

Properties
As for the energy relative to the lowest polymorph listed for this composition: 3 meV/atom. As for the symmetry: Fm-3m (225). The calculation puts the raw formation energy at -11.746 eV/f.u.

POSCAR file:
```
KRb2RhBr6
1.0
-5.1216 1.5699 5.8856
0.3920 -7.5887 2.3652
1.9335 -1.7281 7.5240
K Rh Br Rb
1 1 6 2
Direct
0.5000 0.5000 0.0000
0.0000 0.0000 0.0000
0.2231 0.2231 0.5537
0.7769 0.7769 0.4463
0.2231 0.2231 0.0000
0.7769 0.7769 0.0000
0.7769 0.2231 0.0000
0.2231 0.7769 0.0000
0.7500 0.2500 0.5000
0.2500 0.7500 0.5000
```

***

No. 2
Density functional theory data (GGA-PBE) for a geometry-optimized KRbRuBr6 structure.

Properties
As for the symmetry: P312 (149). The calculation puts the raw formation energy at -7.888 eV/f.u.

POSCAR file:
```
KRbRuBr6
1.0
-7.0613 -3.4332 -0.0326
-1.4087 -6.1386 4.6884
-2.0702 4.2091 4.8874
K Rb Ru Br
1 1 1 6
Direct
0.6665 0.6665 0.5000
0.0000 0.0000 0.0000
0.3333 0.3334 0.5000
0.0720 0.3362 0.2830
0.3362 0.0720 0.7169
0.5916 0.3365 0.7170
0.0714 0.5924 0.7164
0.3365 0.5916 0.2830
0.5923 0.0714 0.2836
```

***

No. 3
Density functional theory data (GGA-PBE) for a geometry-optimized K2RbSBr structure.

Properties
As for the energy relative to the lowest polymorph listed for this composition: 0 meV/atom. As for the symmetry: P4/mmm (123). The calculation puts the raw formation energy at -5.980 eV/f.u.

POSCAR file:
```
K2RbSBr
1.0
5.9853 0.0000 0.0000
0.0000 5.9853 0.0000
0.0000 0.0000 6.3289
S K Br Rb
1 2 1 1
Direct
0.0000 0.0000 0.0000
0.0000 0.5000 0.0000
0.5000 0.0000 0.0000
0.5000 0.5000 0.5000
0.0000 0.0000 0.5000
```

***

No. 4
Density functional theory data (GGA-PBE) for a geometry-optimized KRb2SBr6 structure.

Properties
As for the symmetry: I4/mmm (139). The calculation puts the raw formation energy at -9.156 eV/f.u.

POSCAR file:
```
KRb2SBr6
1.0
-4.0111 -6.8069 0.5517
6.1713 -3.3388 3.6735
-1.2181 -3.2730 7.6095
S K Br Rb
1 1 6 2
Direct
0.5000 0.5000 0.0000
0.0000 0.0000 0.0000
0.2514 0.2514 0.4973
0.7486 0.7486 0.5027
0.2795 0.2795 0.0000
0.7205 0.7205 0.0000
0.7205 0.2795 0.0000
0.2795 0.7205 0.0000
0.7500 0.2500 0.5000
0.2500 0.7500 0.5000
```

***

No. 5
Density functional theory data (GGA-PBE) for a geometry-optimized K2RbSbBr8 structure.

Properties
As for the symmetry: P-1 (2). The calculation puts the raw formation energy at -12.542 eV/f.u.

POSCAR file:
```
K2RbSbBr8
1.0
6.2508 -1.6718 0.5675
-1.5829 8.1747 -0.2557
0.8476 -0.2328 9.7926
K Rb Sb Br
2 1 1 8
Direct
0.6109 0.4695 0.7443
0.3891 0.5305 0.2557
0.0000 0.0000 0.5000
0.0000 0.0000 0.0000
0.9846 0.7616 0.1809
0.5651 0.7806 0.9704
0.8431 0.1545 0.2100
0.0154 0.2384 0.8191
0.4349 0.2194 0.0296
0.1569 0.8455 0.7900
0.4009 0.6895 0.5663
0.5991 0.3105 0.4337
```

***

No. 6
Density functional theory data (GGA-PBE) for a geometry-optimized KRb2ScBr6 structure.

Properties
As for the symmetry: Fm-3m (225). The calculation puts the raw formation energy at -17.325 eV/f.u.

POSCAR file:
```
KRb2ScBr6
1.0
8.1847 0.0008 0.0006
4.0930 7.0860 0.0004
4.0930 2.3638 6.6802
Sc K Br Rb
1 1 6 2
Direct
0.0000 0.0000 0.0000
0.5000 0.5000 0.5000
0.2295 0.2296 0.7703
0.2296 0.7704 0.7704
0.7705 0.2297 0.7704
0.7704 0.2296 0.2296
0.2295 0.7703 0.2296
0.7705 0.7704 0.2297
0.7501 0.7499 0.7499
0.2500 0.2500 0.2500
```

***

No. 7
Density functional theory data (GGA-PBE) for a geometry-optimized KRb2SeBr6 structure.

Properties
As for the energy relative to the lowest polymorph listed for this composition: 0 meV/atom. As for the symmetry: R-3m (166). The calculation puts the raw formation energy at -9.923 eV/f.u.

POSCAR file:
```
KRb2SeBr6
1.0
-3.1887 -1.3026 6.8895
2.6622 -5.6855 4.4630
10.2072 7.8091 10.5065
K Rb Se Br
2 4 2 12
Direct
0.5821 0.5821 0.2538
0.4179 0.4179 0.7462
0.8584 0.8584 0.4248
0.1416 0.1416 0.5752
0.6913 0.6913 0.9262
0.3087 0.3087 0.0738
0.0000 0.0000 0.0000
0.5000 0.5000 0.5000
0.8731 0.3626 0.4018
0.3626 0.8731 0.4018
0.3626 0.3626 0.4018
0.1269 0.6374 0.5982
0.6374 0.1269 0.5982
0.6374 0.6374 0.5982
0.6963 0.2006 0.9026
0.2006 0.6963 0.9026
0.2006 0.2006 0.9026
0.3037 0.7994 0.0974
0.7994 0.3037 0.0974
0.7994 0.7994 0.0974
```

***

No. 8
Density functional theory data (GGA-PBE) for a geometry-optimized KRb2SeBr6 structure.

Properties
As for the energy relative to the lowest polymorph listed for this composition: 24 meV/atom. As for the symmetry: I4/mmm (139). The calculation puts the raw formation energy at -9.680 eV/f.u.

POSCAR file:
```
KRb2SeBr6
1.0
-5.0462 -6.2119 -2.5198
4.7196 -1.0525 -6.8570
3.0657 -7.3908 -1.8890
K Se Br Rb
1 1 6 2
Direct
0.5000 0.5000 0.0000
0.0000 0.0000 0.0000
0.2249 0.2249 0.5502
0.7751 0.7751 0.4498
0.2367 0.2367 0.0000
0.7633 0.7633 0.0000
0.7633 0.2367 0.0000
0.2367 0.7633 0.0000
0.7500 0.2500 0.5000
0.2500 0.7500 0.5000
```

***

No. 9
Density functional theory data (GGA-PBE) for a geometry-optimized KRbSeBr2 structure.

Properties
As for the energy relative to the lowest polymorph listed for this composition: 0 meV/atom. As for the symmetry: P4/mmm (123). The calculation puts the raw formation energy at -3.594 eV/f.u.

POSCAR file:
```
KRbSeBr2
1.0
-2.1121 -3.7581 4.5120
5.1416 -3.4996 -0.5081
2.7547 3.4436 4.1577
K Se Br Rb
1 1 2 1
Direct
0.0000 0.0000 0.0000
0.0000 0.0000 0.5000
0.0000 0.5000 0.0000
0.5000 0.0000 0.0000
0.5000 0.5000 0.5000
```

***

No. 10
Density functional theory data (GGA-PBE) for a geometry-optimized KRbSeBr2 structure.

Properties
As for the energy relative to the lowest polymorph listed for this composition: 101 meV/atom. As for the symmetry: P4/mmm (123). The calculation puts the raw formation energy at -3.088 eV/f.u.

POSCAR file:
```
KRbSeBr2
1.0
6.4884 0.0000 0.0000
0.0000 6.4884 0.0000
0.0000 0.0000 6.2702
K Se Br Rb
1 1 2 1
Direct
0.5000 0.5000 0.5000
0.0000 0.0000 0.5000
0.0000 0.5000 0.0000
0.5000 0.0000 0.0000
0.0000 0.0000 0.0000
```

***

No. 11
Density functional theory data (GGA-PBE) for a geometry-optimized KRbSeBr structure.

Properties
As for the symmetry: F-43m (216). The calculation puts the raw formation energy at -4.133 eV/f.u.

POSCAR file:
```
KRbSeBr
1.0
5.8341 0.0000 0.0000
2.9170 5.0525 0.0000
2.9170 1.6842 4.7635
K Se Br Rb
1 1 1 1
Direct
0.5000 0.5000 0.5000
0.7500 0.7500 0.7500
0.2500 0.2500 0.2500
0.0000 0.0000 0.0000
```

***

No. 12
Density functional theory data (GGA-PBE) for a geometry-optimized KRb2SeBr structure.

Properties
As for the energy relative to the lowest polymorph listed for this composition: 639 meV/atom. As for the symmetry: P4/mmm (123). The calculation puts the raw formation energy at -2.669 eV/f.u.

POSCAR file:
```
KRb2SeBr
1.0
6.8665 0.0000 0.0000
0.0000 5.4773 0.0000
0.0000 0.0000 6.8665
K Se Br Rb
1 1 1 2
Direct
0.0000 0.0000 0.0000
0.5000 0.5000 0.5000
0.0000 0.5000 0.0000
0.0000 0.0000 0.5000
0.5000 0.0000 0.0000
```

***

No. 13
Density functional theory data (GGA-PBE) for a geometry-optimized KRb2SeBr structure.

Properties
As for the energy relative to the lowest polymorph listed for this composition: 0 meV/atom. As for the symmetry: P4/mmm (123). The calculation puts the raw formation energy at -5.863 eV/f.u.

POSCAR file:
```
KRb2SeBr
1.0
6.5371 0.0000 0.0000
0.0000 6.5371 0.0000
0.0000 0.0000 6.1788
K Se Br Rb
1 1 1 2
Direct
0.0000 0.0000 0.5000
0.0000 0.0000 0.0000
0.5000 0.5000 0.5000
0.0000 0.5000 0.0000
0.5000 0.0000 0.0000
```

***

No. 14
Density functional theory data (GGA-PBE) for a geometry-optimized KRb2SiBr6 structure.

Properties
As for the symmetry: Fm-3m (225). The calculation puts the raw formation energy at -11.791 eV/f.u.

POSCAR file:
```
KRb2SiBr6
1.0
-1.2970 7.2827 3.2333
-7.6392 -2.0681 1.5938
-2.8657 0.6249 7.5216
K Si Br Rb
1 1 6 2
Direct
0.0000 0.0000 0.0000
0.5000 0.5000 0.0000
0.2750 0.2750 0.4500
0.7250 0.7250 0.5500
0.2750 0.2750 0.0000
0.7250 0.7250 0.0000
0.7250 0.2750 0.0000
0.2750 0.7250 0.0000
0.7500 0.2500 0.5000
0.2500 0.7500 0.5000
```

***

No. 15
Density functional theory data (GGA-PBE) for a geometry-optimized K2RbSmBr6 structure.

Properties
As for the symmetry: R3 (146). The calculation puts the raw formation energy at -18.217 eV/f.u.

POSCAR file:
```
K2RbSmBr6
1.0
8.2204 0.0006 0.0009
4.1107 7.1169 0.0005
4.1106 2.3728 7.2011
K Rb Sm Br
2 1 1 6
Direct
0.5273 0.5272 0.4183
0.0164 0.0165 0.9509
0.8129 0.8129 0.5612
0.3234 0.3233 0.0299
0.5657 0.2192 0.2409
0.2192 0.9740 0.2409
0.9740 0.5659 0.2409
0.4091 0.6804 0.7774
0.6804 0.1331 0.7775
0.1333 0.4092 0.7774
```

***

No. 16
Density functional theory data (GGA-PBE) for a geometry-optimized KRb2SnBr5 structure.

Properties
As for the symmetry: Cmc2_1 (36). The calculation puts the raw formation energy at -12.653 eV/f.u.

POSCAR file:
```
KRb2SnBr5
1.0
4.9824 0.0000 0.0000
-2.4912 9.9694 0.0000
0.0000 0.0000 14.4911
K Rb Sn Br
2 4 2 10
Direct
0.7841 0.5683 0.5193
0.2159 0.4317 0.0193
0.8556 0.7112 0.8010
0.1098 0.2196 0.6848
0.1444 0.2888 0.3010
0.8902 0.7804 0.1848
0.5307 0.0615 0.9528
0.4693 0.9385 0.4528
0.3806 0.7613 0.9962
0.6679 0.3357 0.8751
0.4893 0.9786 0.7664
0.2797 0.5594 0.6698
0.9489 0.8978 0.5586
0.6194 0.2387 0.4962
0.3321 0.6643 0.3751
0.5107 0.0214 0.2664
0.7203 0.4406 0.1698
0.0511 0.1022 0.0586
```

***

No. 17
Density functional theory data (GGA-PBE) for a geometry-optimized KRb2Sn2Br7 structure.

Properties
As for the symmetry: C2/m (12). The calculation puts the raw formation energy at -14.915 eV/f.u.

POSCAR file:
```
KRb2Sn2Br7
1.0
5.8636 0.0057 0.0127
0.0129 5.8636 0.0127
2.9151 2.9115 14.4757
K Rb Sn Br
1 2 2 7
Direct
0.0000 0.0000 0.0000
0.7919 0.7919 0.3585
0.2081 0.2081 0.6415
0.6094 0.6094 0.7937
0.3906 0.3906 0.2063
0.5000 0.5000 0.0000
0.3121 0.3121 0.4062
0.6879 0.6879 0.5938
0.8927 0.3824 0.1976
0.3824 0.8927 0.1976
0.6176 0.1073 0.8024
0.1073 0.6176 0.8024
```

***

No. 18
Density functional theory data (GGA-PBE) for a geometry-optimized K2RbSnBr5 structure.

Properties
As for the symmetry: Cmc2_1 (36). The calculation puts the raw formation energy at -12.446 eV/f.u.

POSCAR file:
```
K2RbSnBr5
1.0
4.9092 0.0000 0.0000
-2.4546 10.2915 0.0000
0.0000 0.0000 14.0446
K Rb Sn Br
4 2 2 10
Direct
0.8646 0.7292 0.7903
0.1121 0.2242 0.6851
0.1354 0.2708 0.2903
0.8879 0.7758 0.1851
0.7821 0.5641 0.5132
0.2179 0.4359 0.0132
0.5273 0.0546 0.9532
0.4727 0.9454 0.4532
0.3821 0.7642 0.0037
0.6556 0.3111 0.8641
0.4842 0.9683 0.7629
0.2767 0.5535 0.6886
0.9474 0.8947 0.5628
0.6179 0.2358 0.5037
0.3444 0.6889 0.3641
0.5158 0.0317 0.2629
0.7233 0.4465 0.1886
0.0526 0.1053 0.0628
```

***

No. 19
Density functional theory data (GGA-PBE) for a geometry-optimized KRb4Sn3Br12 structure.

Properties
As for the symmetry: Im-3m (229). The calculation puts the raw formation energy at -24.351 eV/f.u.

POSCAR file:
```
KRb4Sn3Br12
1.0
10.1505 0.0000 0.0000
-3.3835 9.5700 0.0000
-3.3835 -4.7850 8.2879
K Rb Sn Br
1 4 3 12
Direct
0.0000 0.0000 0.0000
0.5000 0.5000 0.5000
0.0000 0.0000 0.5000
0.5000 0.0000 0.0000
0.0000 0.5000 0.0000
0.5000 0.0000 0.5000
0.5000 0.5000 0.0000
0.0000 0.5000 0.5000
0.2500 0.5000 0.7500
0.7391 0.0000 0.7391
0.2609 0.0000 0.2609
0.7500 0.5000 0.2500
0.7391 0.7391 0.0000
0.2609 0.2609 0.0000
0.7500 0.2500 0.5000
0.2500 0.7500 0.5000
0.5000 0.2500 0.7500
0.0000 0.7391 0.7391
0.5000 0.7500 0.2500
0.0000 0.2609 0.2609
```

***

No. 20
Density functional theory data (GGA-PBE) for a geometry-optimized KRbSnBr6 structure.

Properties
As for the symmetry: P-31c (163). The calculation puts the raw formation energy at -10.297 eV/f.u.

POSCAR file:
```
KRbSnBr6
1.0
-5.2226 3.2149 5.2526
5.4922 -5.3514 2.5297
8.5900 9.9690 2.4392
K Rb Sn Br
2 2 2 12
Direct
0.3333 0.6667 0.2500
0.6667 0.3333 0.7500
0.0000 0.0000 0.0000
0.0000 0.0000 0.5000
0.6667 0.3333 0.2500
0.3333 0.6667 0.7500
0.6597 0.5977 0.1343
0.9380 0.3403 0.1343
0.3403 0.9380 0.6343
0.0620 0.6597 0.8657
0.4023 0.3403 0.3657
0.9380 0.5977 0.3657
0.5977 0.9380 0.8657
0.6597 0.0620 0.3657
0.0620 0.4023 0.6343
0.4023 0.0620 0.1343
0.5977 0.6597 0.6343
0.3403 0.4023 0.8657
```

***

No. 21
Density functional theory data (GGA-PBE) for a geometry-optimized KRbSn2Br6 structure.

Properties
As for the symmetry: R3 (146). The calculation puts the raw formation energy at -11.775 eV/f.u.

POSCAR file:
```
KRbSn2Br6
1.0
8.0989 0.0032 0.0004
4.0522 7.0173 -0.0012
4.0504 2.3390 6.8390
K Rb Sn Br
1 1 2 6
Direct
0.3005 0.3005 0.0983
0.7913 0.7916 0.6255
0.5148 0.5152 0.4559
0.0122 0.0131 0.9625
0.6639 0.2507 0.2266
0.2506 0.8587 0.2277
0.8582 0.6632 0.2279
0.3421 0.7468 0.7300
0.7477 0.1803 0.7303
0.1802 0.3414 0.7305
```

***

no.,VASP energy (eV/atom)
1,-3.2167
2,-3.2518
3,-2.9885
4,-2.6353
5,-2.7675
6,-3.6727
7,-2.6477
8,-2.6234
9,-2.4979
10,-2.3966
11,-2.8390
12,-2.1718
13,-2.8105
14,-3.0284
15,-3.6136
16,-3.1170
17,-3.1387
18,-3.1085
19,-3.0701
20,-2.9336
21,-3.1883